1.
VASP calculation (PBE-GGA) on crystalline NaThMg at its relaxed geometry.

Results
raw total energy	-2.612	eV/atom
E above lowest polymorph	0.0	meV/atom

The structure in POSCAR format:
```
NaThMg
1.0
7.366 0.000 0.000
0.000 7.366 0.000
0.000 0.000 7.366
Na Th Mg
4 4 4
direct
0.000 0.000 0.000
0.000 0.500 0.500
0.500 0.000 0.500
0.500 0.500 0.000
0.000 0.000 0.500
0.000 0.500 0.000
0.500 0.000 0.000
0.500 0.500 0.500
0.250 0.250 0.250
0.250 0.750 0.750
0.750 0.250 0.750
0.750 0.750 0.250
```

***

2.
VASP calculation (PBE-GGA) on crystalline Ta4ZnCoN2 at its relaxed geometry.

Results
raw total energy	-9.552	eV/atom

The structure in POSCAR format:
```
Ta4ZnCoN2
1.0
3.073 0.000 0.000
-1.536 2.661 0.000
0.000 0.000 13.240
Ta Zn Co N
4 1 1 2
direct
0.000 0.000 0.146
0.000 0.000 0.854
0.333 0.667 0.334
0.333 0.667 0.666
0.000 0.000 0.500
0.333 0.667 0.000
0.667 0.333 0.240
0.667 0.333 0.760
```

***

3.
VASP calculation (PBE-GGA) on crystalline RbNiAu at its relaxed geometry.

Results
raw total energy	-2.457	eV/atom
E above lowest polymorph	115.0	meV/atom

The structure in POSCAR format:
```
RbNiAu
1.0
7.107 0.000 0.000
0.000 7.107 0.000
0.000 0.000 7.107
Rb Ni Au
4 4 4
direct
0.000 0.000 0.000
0.000 0.500 0.500
0.500 0.000 0.500
0.500 0.500 0.000
0.000 0.000 0.500
0.000 0.500 0.000
0.500 0.000 0.000
0.500 0.500 0.500
0.250 0.250 0.750
0.250 0.750 0.250
0.750 0.250 0.250
0.750 0.750 0.750
```

***

4.
VASP calculation (PBE-GGA) on crystalline KLuMgSe3 at its relaxed geometry.

Results
raw total energy	-4.471	eV/atom
E above lowest polymorph	2.8	meV/atom

The structure in POSCAR format:
```
KLuMgSe3
1.0
15.183 0.000 0.000
0.000 4.189 0.000
0.000 0.000 11.139
K Lu Mg Se
4 4 4 12
direct
0.240 0.250 0.042
0.260 0.750 0.542
0.740 0.250 0.458
0.760 0.750 0.958
0.023 0.250 0.353
0.477 0.750 0.853
0.523 0.250 0.147
0.977 0.750 0.647
0.015 0.750 0.102
0.485 0.250 0.602
0.515 0.750 0.398
0.985 0.250 0.898
0.082 0.750 0.884
0.093 0.250 0.580
0.132 0.750 0.262
0.368 0.250 0.762
0.407 0.750 0.080
0.418 0.250 0.384
0.582 0.750 0.616
0.593 0.250 0.920
0.632 0.750 0.238
0.868 0.250 0.738
0.907 0.750 0.420
0.918 0.250 0.116
```

***

5.
VASP calculation (PBE-GGA) on crystalline NbNi4Au at its relaxed geometry.

Results
raw total energy	-6.176	eV/atom

The structure in POSCAR format:
```
NbNi4Au
1.0
0.000 3.369 3.369
3.369 0.000 3.369
3.369 3.369 0.000
Nb Ni Au
1 4 1
direct
0.000 0.000 0.000
0.375 0.375 0.375
0.375 0.375 0.875
0.375 0.875 0.375
0.875 0.375 0.375
0.750 0.750 0.750
```

***

6.
VASP calculation (PBE-GGA) on crystalline ScIrPb2 at its relaxed geometry.

Results
raw total energy	-5.665	eV/atom

The structure in POSCAR format:
```
ScIrPb2
1.0
7.043 0.000 0.000
0.000 7.043 0.000
0.000 0.000 7.043
Sc Ir Pb
4 4 8
direct
0.000 0.000 0.000
0.000 0.500 0.500
0.500 0.000 0.500
0.500 0.500 0.000
0.250 0.250 0.250
0.250 0.750 0.750
0.750 0.250 0.750
0.750 0.750 0.250
0.000 0.000 0.500
0.000 0.500 0.000
0.250 0.250 0.750
0.250 0.750 0.250
0.500 0.000 0.000
0.500 0.500 0.500
0.750 0.250 0.250
0.750 0.750 0.750
```

***

7.
VASP calculation (PBE-GGA) on crystalline ZrIn at its relaxed geometry.

Results
raw total energy	-5.767	eV/atom

The structure in POSCAR format:
```
ZrIn
1.0
5.315 0.000 0.000
0.000 12.657 0.000
0.000 0.000 5.498
Zr In
8 8
direct
0.250 0.000 0.167
0.250 0.128 0.693
0.250 0.372 0.693
0.250 0.500 0.167
0.750 0.000 0.833
0.750 0.500 0.833
0.750 0.628 0.307
0.750 0.872 0.307
0.250 0.250 0.189
0.250 0.615 0.670
0.250 0.750 0.195
0.250 0.885 0.670
0.750 0.115 0.330
0.750 0.250 0.805
0.750 0.385 0.330
0.750 0.750 0.811
```

***

8.
VASP calculation (PBE-GGA) on crystalline SiHg2F5 at its relaxed geometry.

Results
raw total energy	-4.137	eV/atom

The structure in POSCAR format:
```
SiHg2F5
1.0
5.349 0.000 0.000
0.000 9.993 0.000
-2.672 0.000 5.005
Si Hg F
2 4 10
direct
0.000 0.000 0.000
0.500 0.500 0.000
0.009 0.250 0.513
0.009 0.750 0.513
0.509 0.250 0.513
0.509 0.750 0.513
0.004 0.169 0.007
0.004 0.831 0.007
0.157 0.500 0.833
0.166 0.000 0.823
0.168 0.000 0.327
0.504 0.331 0.007
0.504 0.669 0.007
0.657 0.000 0.833
0.666 0.500 0.823
0.668 0.500 0.327
```

***

9.
VASP calculation (PBE-GGA) on crystalline Pr3In3NiAu2 at its relaxed geometry.

Results
raw total energy	-4.507	eV/atom

The structure in POSCAR format:
```
Pr3In3NiAu2
1.0
7.870 0.000 0.000
-3.935 6.816 0.000
0.000 0.000 4.044
Pr In Ni Au
3 3 1 2
direct
0.000 0.596 0.000
0.404 0.404 0.000
0.596 0.000 0.000
0.000 0.239 0.500
0.239 0.000 0.500
0.761 0.761 0.500
0.000 0.000 0.000
0.333 0.667 0.500
0.667 0.333 0.500
```

***

10.
VASP calculation (PBE-GGA) on crystalline ZrTlAgTe3 at its relaxed geometry.

Results
raw total energy	-4.431	eV/atom
E above lowest polymorph	0.2	meV/atom

The structure in POSCAR format:
```
ZrTlAgTe3
1.0
8.659 0.000 0.000
0.000 4.175 0.000
-3.661 0.000 10.117
Zr Tl Ag Te
2 2 2 6
direct
0.207 0.250 0.172
0.793 0.750 0.828
0.228 0.750 0.710
0.772 0.250 0.290
0.426 0.750 0.396
0.574 0.250 0.604
0.053 0.250 0.876
0.225 0.250 0.442
0.426 0.750 0.137
0.574 0.250 0.863
0.775 0.750 0.558
0.947 0.750 0.124
```

***

11.
VASP calculation (PBE-GGA) on crystalline Co2RePt at its relaxed geometry.

Results
raw total energy	-8.081	eV/atom

The structure in POSCAR format:
```
Co2RePt
1.0
3.527 0.000 0.000
0.000 3.797 0.000
0.000 0.000 3.806
Co Re Pt
2 1 1
direct
0.000 0.000 0.000
0.000 0.500 0.478
0.500 0.000 0.485
0.500 0.500 0.978
```

***

12.
VASP calculation (PBE-GGA) on crystalline PaSi2Au4 at its relaxed geometry.

Results
raw total energy	-5.073	eV/atom

The structure in POSCAR format:
```
PaSi2Au4
1.0
4.260 0.000 0.000
0.000 14.386 0.000
0.000 0.000 4.232
Pa Si Au
2 4 8
direct
0.000 0.000 0.000
0.500 0.500 0.000
0.000 0.421 0.500
0.000 0.579 0.500
0.500 0.079 0.500
0.500 0.921 0.500
0.000 0.173 0.500
0.000 0.325 0.000
0.000 0.675 0.000
0.000 0.827 0.500
0.500 0.175 0.000
0.500 0.327 0.500
0.500 0.673 0.500
0.500 0.825 0.000
```